Here is a geometry-optimized CaZnPb2 structure from Alexandria. Energies are from PBE-GGA.

The value obtained for the energy of formation from the pure elements is -0.218 eV per atom. The value obtained for the size of the total moment is 0.000 μB per atom.

abc: 4.583 4.805 4.833
angles: 90.00 90.00 90.00
Space group Pmmm (No. 47)
Asymmetric unit:
Ca  0.000  0.000  0.000 [1 per cell]
Zn  0.000  0.500  0.500 [1 per cell]
Pb  0.500  0.000  0.500 [1 per cell]
Pb  0.500  0.500  0.000 [1 per cell]

=====

Here is a geometry-optimized Ca4ZnPb structure from Alexandria. Energies are from PBE-GGA.

Its distance to the lowest polymorph of the same formula is 0 meV per atom. The value obtained for the energy of formation from the pure elements is -0.229 eV per atom. The value obtained for the size of the total moment is 0.001 μB per atom.

abc: 7.445 7.445 7.681
angles: 90.00 90.06 90.00
Space group C2 (No. 5)
Asymmetric unit:
Ca  0.250  0.000  0.247 [4 per cell]
Ca  0.250  0.000  0.753 [4 per cell]
Zn  0.000  0.250  0.000 [2 per cell]
Pb  0.000  0.750  0.500 [2 per cell]

=====

no.,total energy (eV for the cell shown)
1,-11.56
2,-28.72